# 1
Below is a geometry-optimized Ta2FeBr structure, with properties calculated at the PBE-GGA level.

Calculated values
Space-group type: No. 12
Energy relative to the elements, uncorrected, eV/atom: 0.100
VASP energy, eV per atom: -8.36
Total magnetic moment, μB per cell: 0.00

```
Ta2FeBr
1.0
3.277 -1.841 0.000
3.277 1.841 0.000
-3.266 0.000 6.727
Ta Fe Br
2 1 1
direct
0.098 0.098 0.344
0.902 0.902 0.656
0.500 0.500 0.500
0.500 0.500 0.000
```

***

# 2
Below is a geometry-optimized TaFe2Br structure, with properties calculated at the PBE-GGA level.

Calculated values
Space-group type: No. 38
Energy relative to the elements, uncorrected, eV/atom: 0.285
VASP energy, eV per atom: -7.33
Total magnetic moment, μB per cell: 4.90

```
TaFe2Br
1.0
3.052 0.000 0.000
0.000 1.546 7.093
0.000 -1.546 7.093
Ta Fe Br
1 2 1
direct
0.000 0.000 0.000
0.000 0.193 0.193
0.500 0.607 0.607
0.500 0.362 0.362
```

***

# 3
Below is a geometry-optimized Ta2FeBr structure, with properties calculated at the PBE-GGA level.

Calculated values
Space-group type: No. 8
Energy relative to the elements, uncorrected, eV/atom: 0.506
VASP energy, eV per atom: -7.95
Total magnetic moment, μB per cell: 0.64

```
Ta2FeBr
1.0
4.697 -1.535 0.000
4.697 1.535 0.000
-1.674 0.000 4.627
Ta Fe Br
2 1 1
direct
0.000 0.000 0.000
0.201 0.201 0.649
0.708 0.708 0.133
0.442 0.442 0.480
```

***

# 4
Below is a geometry-optimized Ta2FeBr structure, with properties calculated at the PBE-GGA level.

Calculated values
Space-group type: No. 160
Energy relative to the elements, uncorrected, eV/atom: 0.278
VASP energy, eV per atom: -8.18
Total magnetic moment, μB per cell: 0.03

```
Ta2FeBr
1.0
1.560 0.901 8.702
-1.560 0.901 8.702
0.000 -1.802 8.702
Ta Fe Br
2 1 1
direct
0.000 0.000 0.000
0.240 0.240 0.240
0.729 0.729 0.729
0.498 0.498 0.498
```

***

# 5
Below is a geometry-optimized TaFe2Br structure, with properties calculated at the PBE-GGA level.

Calculated values
Space-group type: No. 71
Energy relative to the elements, uncorrected, eV/atom: 0.676
VASP energy, eV per atom: -6.94
Total magnetic moment, μB per cell: 3.60

```
TaFe2Br
1.0
-1.494 2.270 4.416
1.494 -2.270 4.416
1.494 2.270 -4.416
Ta Fe Br
1 2 1
direct
0.000 0.000 0.000
0.255 0.755 0.500
0.745 0.245 0.500
0.500 0.500 0.000
```

***

# 6
Below is a geometry-optimized TaFe2Br structure, with properties calculated at the PBE-GGA level.

Calculated values
Space-group type: No. 99
Energy relative to the elements, uncorrected, eV/atom: 0.312
VASP energy, eV per atom: -7.30
Total magnetic moment, μB per cell: 5.09

```
TaFe2Br
1.0
3.043 0.000 0.000
0.000 3.043 0.000
0.000 0.000 7.677
Ta Fe Br
1 2 1
direct
0.000 0.000 0.000
0.000 0.000 0.635
0.500 0.500 0.793
0.500 0.500 0.247
```